Entry 1:
Th2AlTc: relaxed, PBE.

Summary:
Formation enthalpy at 0 K   0.410 eV per atom
Space-group type   No. 166

Unit cell a=10.4799 b=10.4799 c=10.4799 alpha=18.43 beta=18.43 gamma=18.43
Element x y z (fractional)
Th (0.0828, 0.0828, 0.0828)
Th (0.9172, 0.9172, 0.9172)
Al (0.5000, 0.5000, 0.5000)
Tc (0.0000, 0.0000, 0.0000)

Entry 2:
CaTaIrCl2: relaxed, PBE.

Summary:
ΔE_f (raw)   0.74 eV per atom
Space-group type   No. 123

Unit cell a=4.7453 b=4.7453 c=6.0458 alpha=90.00 beta=90.00 gamma=90.00
Element x y z (fractional)
Ca (0.0000, 0.0000, 0.0000)
Ta (0.5000, 0.5000, 0.5000)
Ir (0.0000, 0.0000, 0.5000)
Cl (0.0000, 0.5000, 0.0000)
Cl (0.5000, 0.0000, 0.0000)

Entry 3:
FeSiTc2: relaxed, PBE.

Summary:
ΔE_f (raw)   -0.27 eV per atom
Space-group type   No. 44

Unit cell a=4.9053 b=4.9053 c=4.9053 alpha=144.80 beta=129.93 gamma=62.68
Element x y z (fractional)
Fe (0.0000, 0.0000, 0.0000)
Si (0.2234, 0.7234, 0.5000)
Tc (0.4709, 0.4709, 0.0000)
Tc (0.7376, 0.2376, 0.5000)

Entry 4:
Hf8FeTe6: relaxed, PBE.

Summary:
ΔE_f (raw)   -0.63 eV per atom
Space-group type   No. 59

Unit cell a=3.7380 b=26.0667 c=7.6913 alpha=90.00 beta=90.00 gamma=90.00
Element x y z (fractional)
Hf (0.2500, 0.0517, 0.0594)
Hf (0.2500, 0.1844, 0.2614)
Hf (0.2500, 0.2500, 0.9279)
Hf (0.2500, 0.3156, 0.2614)
Hf (0.2500, 0.4483, 0.0594)
Hf (0.2500, 0.6510, 0.0562)
Hf (0.2500, 0.7500, 0.4569)
Hf (0.2500, 0.8490, 0.0562)
Hf (0.7500, 0.1510, 0.9438)
Hf (0.7500, 0.2500, 0.5431)
Hf (0.7500, 0.3490, 0.9438)
Hf (0.7500, 0.5517, 0.9406)
Hf (0.7500, 0.6844, 0.7386)
Hf (0.7500, 0.7500, 0.0721)
Hf (0.7500, 0.8156, 0.7386)
Hf (0.7500, 0.9483, 0.9406)
Fe (0.2500, 0.7500, 0.8020)
Fe (0.7500, 0.2500, 0.1980)
Te (0.2500, 0.1680, 0.6503)
Te (0.2500, 0.3320, 0.6503)
Te (0.2500, 0.5478, 0.2215)
Te (0.2500, 0.5948, 0.7002)
Te (0.2500, 0.9052, 0.7002)
Te (0.2500, 0.9522, 0.2215)
Te (0.7500, 0.0478, 0.7785)
Te (0.7500, 0.0948, 0.2998)
Te (0.7500, 0.4052, 0.2998)
Te (0.7500, 0.4522, 0.7785)
Te (0.7500, 0.6680, 0.3497)
Te (0.7500, 0.8320, 0.3497)

Entry 5:
Ag2HgAu2: relaxed, PBE.

Summary:
Polymorph energy (0 for the lowest one)   2.78 kcal/mol of atoms
Formation enthalpy at 0 K   0.125 eV per atom
Space-group type   No. 139

Unit cell a=7.4215 b=7.4215 c=7.4215 alpha=149.41 beta=149.41 gamma=43.81
Element x y z (fractional)
Ag (0.2500, 0.7500, 0.5000)
Ag (0.7500, 0.2500, 0.5000)
Hg (0.0000, 0.0000, 0.0000)
Au (0.4006, 0.4006, 0.0000)
Au (0.5994, 0.5994, 0.0000)

Entry 6:
SnAuF2: relaxed, PBE.

Summary:
Polymorph energy (0 for the lowest one)   0.02 kcal/mol of atoms
ΔE_f (raw)   -1.09 eV per atom
Space-group type   No. 122

Unit cell a=8.5152 b=8.5152 c=8.5152 alpha=151.94 beta=151.94 gamma=40.10
Element x y z (fractional)
Sn (0.0000, 0.0000, 0.0000)
Sn (0.7500, 0.2500, 0.5000)
Au (0.2500, 0.7500, 0.5000)
Au (0.5000, 0.5000, 0.0000)
F (0.0803, 0.6250, 0.9553)
F (0.3750, 0.3303, 0.4553)
F (0.6697, 0.1250, 0.0447)
F (0.8750, 0.9197, 0.5447)

Here are the calculated density of states at the Fermi level numbers, same order: 3.38, 4.07, 2.84, 17.93, 1.25, 5.25 (states/eV per cell).